Record 1
TbPbAuS3 GGA-PBE relaxed; crystal system = orthorhombic; VASP energy = -4.996 eV per atom; magnetization = 0.00 μB per formula unit
1.0
-0.369 -1.441 -3.882
10.815 -4.022 0.465
-4.285 -11.002 4.491
S Au Pb Tb
12 4 4 4
Direct
0.250 0.245 0.190 S
0.750 0.755 0.810 S
0.750 0.255 0.690 S
0.750 0.474 0.307 S
0.250 0.026 0.807 S
0.750 0.974 0.193 S
0.750 0.097 0.445 S
0.250 0.403 0.945 S
0.250 0.903 0.555 S
0.250 0.745 0.310 S
0.750 0.597 0.055 S
0.250 0.526 0.693 S
0.250 0.714 0.623 Au
0.250 0.214 0.877 Au
0.750 0.786 0.123 Au
0.750 0.286 0.377 Au
0.750 0.669 0.438 Pb
0.250 0.331 0.562 Pb
0.250 0.831 0.938 Pb
0.750 0.169 0.062 Pb
0.750 0.521 0.840 Tb
0.250 0.979 0.340 Tb
0.250 0.479 0.160 Tb
0.750 0.021 0.660 Tb

Record 2
DyCd2Sn GGA-PBE relaxed; crystal system = tetragonal; VASP energy = -3.028 eV per atom; magnetization = 0.00 μB per formula unit
1.0
-3.765 -0.433 2.344
-2.330 -0.253 -3.790
0.542 -4.787 -0.014
Cd Sn Dy
2 1 1
Direct
0.000 0.500 0.000 Cd
0.500 0.000 0.000 Cd
0.500 0.500 0.500 Sn
0.000 0.000 0.500 Dy

Record 3
Sc2Ge3W4C3 GGA-PBE relaxed; crystal system = monoclinic; VASP energy = -9.103 eV per atom; magnetization = 0.00 μB per formula unit
1.0
-1.109 1.418 -5.198
-3.078 -3.312 -3.133
-9.267 6.801 6.741
Sc C W Ge
4 6 8 6
Direct
0.465 0.628 0.394 Sc
0.535 0.372 0.606 Sc
0.628 0.465 0.894 Sc
0.372 0.535 0.106 Sc
0.334 0.834 0.000 C
0.166 0.666 0.500 C
0.500 0.000 0.500 C
0.000 0.500 0.000 C
0.666 0.166 0.000 C
0.834 0.334 0.500 C
0.018 0.201 0.082 W
0.799 0.982 0.418 W
0.148 0.305 0.418 W
0.982 0.799 0.918 W
0.695 0.852 0.082 W
0.305 0.148 0.918 W
0.852 0.695 0.582 W
0.201 0.018 0.582 W
0.967 0.033 0.750 Ge
0.208 0.413 0.750 Ge
0.792 0.587 0.250 Ge
0.587 0.792 0.750 Ge
0.033 0.967 0.250 Ge
0.413 0.208 0.250 Ge

Record 4
TbGdS2F2 GGA-PBE relaxed; crystal system = tetragonal; VASP energy = -6.559 eV per atom; magnetization = 0.00 μB per formula unit
1.0
3.772 0.000 0.000
0.000 3.772 0.000
0.000 0.000 6.821
Tb S F Gd
1 2 2 1
Direct
0.500 0.500 0.771 Tb
0.000 0.000 0.643 S
0.500 0.500 0.357 S
0.000 0.500 0.000 F
0.500 0.000 0.000 F
0.000 0.000 0.228 Gd